(i)
Below is a relaxed structure of MgAl2O4, with properties calculated at the PBE level.

Lattice parameters (Å, degrees): 5.7639 5.7639 14.1802 90.00 90.00 120.00
Last column: nearest neighbours and their distance in Å.
Sites, in units of the cell vectors:
Mg (0.0000, 0.0000, 0.0000)  4 O 1.97-2.05
Mg (0.0000, 0.0000, 0.2430)  4 O 1.93-1.97
Mg (0.0000, 0.0000, 0.6208)  6 O 2.01-2.10
Mg (0.3333, 0.6667, 0.5771)  4 O 1.93-2.00
Mg (0.6667, 0.3333, 0.2861)  6 O 2.03-2.08
Mg (0.6667, 0.3333, 0.9122)  4 O 1.93-1.96
Al (0.1693, 0.3385, 0.7903)  6 O 1.92-1.99
Al (0.1693, 0.8307, 0.7903)  6 O 1.92-1.99
Al (0.3237, 0.1619, 0.4563)  6 O 1.88-2.04
Al (0.3333, 0.6667, 0.3364)  4 O 1.84-1.86
Al (0.3333, 0.6667, 0.9576)  6 O 1.90-1.94
Al (0.5029, 0.0058, 0.1216)  6 O 1.88-2.07
Al (0.5029, 0.4971, 0.1216)  6 O 1.88-2.07
Al (0.6615, 0.8307, 0.7903)  6 O 1.92-1.99
Al (0.6667, 0.3333, 0.6659)  4 O 1.82-1.87
Al (0.8381, 0.1619, 0.4563)  6 O 1.88-2.04
Al (0.8381, 0.6763, 0.4563)  6 O 1.88-2.04
Al (0.9942, 0.4971, 0.1216)  6 O 1.88-2.07
O (0.0000, 0.0000, 0.3821)  3 Al 1.93, 1 Mg 1.97
O (0.0000, 0.0000, 0.8554)  3 Al 1.93, 1 Mg 2.05
O (0.0386, 0.5193, 0.8686)  3 Al 1.92-1.94, 1 Mg 1.96
O (0.1530, 0.3059, 0.5287)  2 Al 1.88, 2 Mg 1.93-2.01
O (0.1530, 0.8470, 0.5287)  2 Al 1.88, 2 Mg 1.93-2.01
O (0.1871, 0.3743, 0.0439)  3 Al 1.90-1.93, 1 Mg 1.97
O (0.1871, 0.8129, 0.0439)  3 Al 1.90-1.93, 1 Mg 1.97
O (0.3272, 0.1636, 0.7136)  3 Al 1.82-1.99
O (0.3333, 0.6667, 0.2052)  4 Al 1.86-2.07
O (0.3333, 0.6667, 0.7184)  3 Al 1.93, 1 Mg 2.00
O (0.3590, 0.1795, 0.1923)  2 Al 1.88, 2 Mg 1.93-2.03
O (0.4807, 0.5193, 0.8686)  3 Al 1.92-1.94, 1 Mg 1.96
O (0.4807, 0.9614, 0.8686)  3 Al 1.92-1.94, 1 Mg 1.96
O (0.5069, 0.0138, 0.3801)  3 Al 1.84-1.98
O (0.5069, 0.4931, 0.3801)  3 Al 1.84-1.98
O (0.6257, 0.8129, 0.0439)  3 Al 1.90-1.93, 1 Mg 1.97
O (0.6667, 0.3333, 0.0483)  1 Mg 1.93, 3 Al 1.94
O (0.6667, 0.3333, 0.5342)  4 Al 1.87-2.04
O (0.6941, 0.8470, 0.5287)  2 Al 1.88, 2 Mg 1.93-2.01
O (0.8205, 0.1795, 0.1923)  2 Al 1.88, 2 Mg 1.93-2.03
O (0.8205, 0.6410, 0.1923)  2 Al 1.88, 2 Mg 1.93-2.03
O (0.8364, 0.1636, 0.7136)  3 Al 1.82-1.99
O (0.8364, 0.6728, 0.7136)  3 Al 1.82-1.99
O (0.9862, 0.4931, 0.3801)  3 Al 1.84-1.98

Results
Crystal system: trigonal
Density: 3.5 g cm⁻³
Magnetic moment: 0.00 μB per atom

(ii)
Below is a relaxed structure of MgAl2O4, with properties calculated at the PBE level.

Lattice parameters (Å, degrees): 5.7428 5.7428 5.7428 120.44 119.57 89.99
Last column: nearest neighbours and their distance in Å.
Sites, in units of the cell vectors:
Mg (0.5000, 0.0000, 0.0000)  6 O 2.03-2.06
Mg (0.5000, 0.5000, 0.5000)  6 O 2.03-2.06
Al (0.0000, 0.0000, 0.0000)  6 O 1.90-1.97
Al (0.1148, 0.3648, 0.7500)  4 O 1.79-1.85
Al (0.5000, 0.0000, 0.5000)  6 O 1.90-1.97
Al (0.8852, 0.6352, 0.2500)  4 O 1.79-1.85
O (0.2350, 0.2344, 0.0007)  2 Al 1.79-1.90
O (0.2464, 0.2321, 0.4857)  3 Al 1.85-1.97, 1 Mg 2.06
O (0.2464, 0.7607, 0.0143)  3 Al 1.85-1.97, 1 Mg 2.06
O (0.2663, 0.7656, 0.5007)  2 Al 1.79-1.90
O (0.7337, 0.2344, 0.4993)  2 Al 1.79-1.90
O (0.7536, 0.2393, 0.9857)  3 Al 1.85-1.97, 1 Mg 2.06
O (0.7536, 0.7679, 0.5143)  3 Al 1.85-1.97, 1 Mg 2.06
O (0.7650, 0.7656, 0.9993)  2 Al 1.79-1.90

Results
Crystal system: orthorhombic
Density: 3.5 g cm⁻³
Magnetic moment: 0.00 μB per atom

Which structure is most stable, and how do the rest compare? From most to least stable: (i), (ii).